1.
# PmSi3OsRh | the Alexandria database | PBE-GGA | relaxed
data_PmSi3OsRh
_chemical_formula_sum 'Pm4 Si12 Os4 Rh4'
_cell_length_a 6.2022
_cell_length_b 13.6612
_cell_length_c 5.5948
_cell_angle_alpha 90.00
_cell_angle_beta 90.00
_cell_angle_gamma 90.00
_space_group_name_H-M_alt 'C m c m'
_space_group_IT_number 63
_space_group_name_Hall '-C 2c 2'
loop_
_atom_site_label
_atom_site_type_symbol
_atom_site_fract_x
_atom_site_fract_y
_atom_site_fract_z
Pm1 Pm 0.0000 0.1883 0.2500
Si1 Si 0.0000 0.2317 0.7500
Si2 Si 0.2130 0.5000 0.0000
Os1 Os 0.0000 0.0672 0.7500
Rh1 Rh 0.0000 0.3949 0.7500
# **Uncorrected formation energy**: -0.464 eV/atom
# **DOS at the Fermi energy**: 8.13 states/eV per cell
# **Calculated volume**: 19.752 A^3/atom
# **Crystal system**: orthorhombic



2.
# Tm2Pd2Pb | the Alexandria database | PBE-GGA | relaxed
data_Tm2Pd2Pb
_chemical_formula_sum 'Tm4 Pd4 Pb2'
_cell_length_a 7.8212
_cell_length_b 7.8212
_cell_length_c 3.6032
_cell_angle_alpha 90.00
_cell_angle_beta 90.00
_cell_angle_gamma 90.00
_space_group_name_H-M_alt 'P 4/m b m'
_space_group_IT_number 127
_space_group_name_Hall '-P 4 2ab'
loop_
_atom_site_label
_atom_site_type_symbol
_atom_site_fract_x
_atom_site_fract_y
_atom_site_fract_z
Tm1 Tm 0.1696 0.3304 0.0000
Pd1 Pd 0.1263 0.6263 0.5000
Pb1 Pb 0.0000 0.0000 0.5000
# **ΔH_f (0 K)**: -0.85 eV per atom
# **DOS at the Fermi energy**: 4.33 states/eV per cell
# **Calculated volume**: 22.041 A^3/atom
# **Crystal system**: tetragonal



3.
# ErSn6Rh | the Alexandria database | PBE-GGA | relaxed
data_ErSn6Rh
_chemical_formula_sum 'Er2 Sn12 Rh2'
_cell_length_a 6.3119
_cell_length_b 10.9359
_cell_length_c 6.4571
_cell_angle_alpha 90.00
_cell_angle_beta 113.76
_cell_angle_gamma 90.00
_space_group_name_H-M_alt 'C 1 2/m 1'
_space_group_IT_number 12
loop_
_space_group_symop_operation_xyz
'x,y,z'
'-x,-y,-z'
'-x,y,-z'
'x,-y,z'
'x+1/2,y+1/2,z'
'-x+1/2,-y+1/2,-z'
'-x+1/2,y+1/2,-z'
'x+1/2,-y+1/2,z'
loop_
_atom_site_label
_atom_site_type_symbol
_atom_site_fract_x
_atom_site_fract_y
_atom_site_fract_z
Er1 Er 0.0000 0.0000 0.0000
Sn1 Sn 0.0476 0.5000 0.2783
Sn2 Sn 0.1067 0.2232 0.7485
Rh1 Rh 0.0000 0.0000 0.5000
# **ΔH_f (0 K)**: -0.20 eV per atom
# **DOS at the Fermi energy**: 8.98 states/eV per cell
# **Calculated volume**: 25.496 A^3/atom
# **Crystal system**: monoclinic



4.
# Tb3Pm7Y | the Alexandria database | PBE-GGA | relaxed
data_Tb3Pm7Y
_chemical_formula_sum 'Tb3 Pm7 Y1'
_cell_length_a 7.0993
_cell_length_b 5.6536
_cell_length_c 10.0459
_cell_angle_alpha 90.00
_cell_angle_beta 110.51
_cell_angle_gamma 90.00
_space_group_name_H-M_alt 'P 1 2/m 1'
_space_group_IT_number 10
loop_
_space_group_symop_operation_xyz
'x,y,z'
'-x,-y,-z'
'-x,y,-z'
'x,-y,z'
loop_
_atom_site_label
_atom_site_type_symbol
_atom_site_fract_x
_atom_site_fract_y
_atom_site_fract_z
Tb1 Tb 0.0000 0.0000 0.0000
Tb2 Tb 0.2200 0.5000 0.5005
Pm1 Pm 0.0840 0.0000 0.6708
Pm2 Pm 0.1806 0.5000 0.8604
Pm3 Pm 0.3536 0.5000 0.2086
Pm4 Pm 0.5000 0.0000 0.5000
Y1 Y 0.5000 0.0000 0.0000
# **ΔH_f (0 K)**: 0.12 eV per atom
# **Excess energy over the best structure of this formula in the dataset**: 0.000 eV/atom
# **DOS at the Fermi energy**: 15.13 states/eV per cell
# **Calculated volume**: 34.331 A^3/atom
# **Crystal system**: monoclinic



5.
# BaTe2IN | the Alexandria database | PBE-GGA | relaxed
data_BaTe2IN
_chemical_formula_sum 'Ba1 Te2 I1 N1'
_cell_length_a 6.8899
_cell_length_b 6.8899
_cell_length_c 4.4778
_cell_angle_alpha 90.00
_cell_angle_beta 90.00
_cell_angle_gamma 90.00
_space_group_name_H-M_alt 'P 4/m m m'
_space_group_IT_number 123
_space_group_name_Hall '-P 4 2'
loop_
_atom_site_label
_atom_site_type_symbol
_atom_site_fract_x
_atom_site_fract_y
_atom_site_fract_z
Ba1 Ba 0.0000 0.0000 0.0000
Te1 Te 0.0000 0.5000 0.0000
I1 I 0.5000 0.5000 0.5000
N1 N 0.0000 0.0000 0.5000
# **Uncorrected formation energy**: 0.949 eV/atom
# **Excess energy over the best structure of this formula in the dataset**: 1.047 eV/atom
# **DOS at the Fermi energy**: 9.25 states/eV per cell
# **Calculated volume**: 42.513 A^3/atom
# **Crystal system**: tetragonal



6.
# MgB2S | the Alexandria database | PBE-GGA | relaxed
data_MgB2S
_chemical_formula_sum 'Mg4 B8 S4'
_cell_length_a 3.2889
_cell_length_b 11.5450
_cell_length_c 5.7819
_cell_angle_alpha 90.00
_cell_angle_beta 90.00
_cell_angle_gamma 90.00
_space_group_name_H-M_alt 'I m a 2'
_space_group_IT_number 46
loop_
_space_group_symop_operation_xyz
'x,y,z'
'-x,-y,z'
'-x+1/2,y,z'
'x+1/2,-y,z'
'x+1/2,y+1/2,z+1/2'
'-x+1/2,-y+1/2,z+1/2'
'-x,y+1/2,z+1/2'
'x,-y+1/2,z+1/2'
loop_
_atom_site_label
_atom_site_type_symbol
_atom_site_fract_x
_atom_site_fract_y
_atom_site_fract_z
Mg1 Mg 0.2500 0.1694 0.0000
B1 B 0.0000 0.0000 0.2414
B2 B 0.2500 0.5347 0.0016
S1 S 0.2500 0.6802 0.1680
# **Uncorrected formation energy**: -0.373 eV/atom
# **Excess energy over the best structure of this formula in the dataset**: 0.007 eV/atom
# **Calculated volume**: 13.721 A^3/atom
# **Crystal system**: orthorhombic



7.
# CeEuZr | the Alexandria database | PBE-GGA | relaxed
data_CeEuZr
_chemical_formula_sum 'Ce2 Eu2 Zr2'
_cell_length_a 3.3279
_cell_length_b 3.3279
_cell_length_c 15.9598
_cell_angle_alpha 90.00
_cell_angle_beta 90.00
_cell_angle_gamma 90.00
_space_group_name_H-M_alt 'I 4 m m'
_space_group_IT_number 107
_space_group_name_Hall 'I 4 -2'
loop_
_atom_site_label
_atom_site_type_symbol
_atom_site_fract_x
_atom_site_fract_y
_atom_site_fract_z
Ce1 Ce 0.0000 0.0000 0.0000
Eu1 Eu 0.0000 0.0000 0.3120
Zr1 Zr 0.0000 0.0000 0.6443
# **ΔH_f (0 K)**: 0.21 eV per atom
# **DOS at the Fermi energy**: 11.10 states/eV per cell
# **Calculated volume**: 29.458 A^3/atom
# **Crystal system**: tetragonal



8.
# TmScCoIr | the Alexandria database | PBE-GGA | relaxed
data_TmScCoIr
_chemical_formula_sum 'Tm4 Sc4 Co4 Ir4'
_cell_length_a 6.5362
_cell_length_b 6.5362
_cell_length_c 6.5362
_cell_angle_alpha 90.00
_cell_angle_beta 90.00
_cell_angle_gamma 90.00
_space_group_name_H-M_alt 'F -4 3 m'
_space_group_IT_number 216
_space_group_name_Hall 'F -4 2 3'
loop_
_atom_site_label
_atom_site_type_symbol
_atom_site_fract_x
_atom_site_fract_y
_atom_site_fract_z
Tm1 Tm 0.0000 0.0000 0.0000
Sc1 Sc 0.0000 0.0000 0.5000
Co1 Co 0.2500 0.2500 0.2500
Ir1 Ir 0.2500 0.2500 0.7500
# **ΔH_f (0 K)**: -0.64 eV per atom
# **DOS at the Fermi energy**: 7.80 states/eV per cell
# **Calculated volume**: 17.452 A^3/atom
# **Crystal system**: cubic



9.
# CrAs2Pb | the Alexandria database | PBE-GGA | relaxed
data_CrAs2Pb
_chemical_formula_sum 'Cr2 As4 Pb2'
_cell_length_a 5.8437
_cell_length_b 7.7106
_cell_length_c 3.8221
_cell_angle_alpha 90.00
_cell_angle_beta 90.00
_cell_angle_gamma 90.00
_space_group_name_H-M_alt 'C m m m'
_space_group_IT_number 65
_space_group_name_Hall '-C 2 2'
loop_
_atom_site_label
_atom_site_type_symbol
_atom_site_fract_x
_atom_site_fract_y
_atom_site_fract_z
Cr1 Cr 0.0000 0.0000 0.0000
As1 As 0.2500 0.2500 0.5000
Pb1 Pb 0.0000 0.5000 0.0000
# **ΔH_f (0 K)**: 0.35 eV per atom
# **DOS at the Fermi energy**: 3.65 states/eV per cell
# **Calculated volume**: 21.527 A^3/atom
# **Crystal system**: orthorhombic



10.
# ReTc2Sb | the Alexandria database | PBE-GGA | relaxed
data_ReTc2Sb
_chemical_formula_sum 'Re1 Tc2 Sb1'
_cell_length_a 2.9839
_cell_length_b 4.0625
_cell_length_c 5.3596
_cell_angle_alpha 90.00
_cell_angle_beta 90.00
_cell_angle_gamma 90.00
_space_group_name_H-M_alt 'P m m 2'
_space_group_IT_number 25
loop_
_space_group_symop_operation_xyz
'x,y,z'
'-x,-y,z'
'-x,y,z'
'x,-y,z'
loop_
_atom_site_label
_atom_site_type_symbol
_atom_site_fract_x
_atom_site_fract_y
_atom_site_fract_z
Re1 Re 0.0000 0.0000 0.0000
Tc1 Tc 0.0000 0.0000 0.5214
Tc2 Tc 0.5000 0.5000 0.7997
Sb1 Sb 0.5000 0.5000 0.2933
# **Uncorrected formation energy**: 0.346 eV/atom
# **DOS at the Fermi energy**: 4.23 states/eV per cell
# **Calculated volume**: 16.242 A^3/atom
# **Crystal system**: orthorhombic



11.
# ZrTaSe2 | the Alexandria database | PBE-GGA | relaxed
data_ZrTaSe2
_chemical_formula_sum 'Zr4 Ta4 Se8'
_cell_length_a 6.5919
_cell_length_b 6.5919
_cell_length_c 6.5919
_cell_angle_alpha 90.00
_cell_angle_beta 90.00
_cell_angle_gamma 90.00
_space_group_name_H-M_alt 'F m -3 m'
_space_group_IT_number 225
_space_group_name_Hall '-F 4 2 3'
loop_
_atom_site_label
_atom_site_type_symbol
_atom_site_fract_x
_atom_site_fract_y
_atom_site_fract_z
Zr1 Zr 0.0000 0.0000 0.0000
Ta1 Ta 0.0000 0.0000 0.5000
Se1 Se 0.2500 0.2500 0.2500
# **Uncorrected formation energy**: -0.575 eV/atom
# **Excess energy over the best structure of this formula in the dataset**: 0.168 eV/atom
# **DOS at the Fermi energy**: 21.67 states/eV per cell
# **Calculated volume**: 17.902 A^3/atom
# **Crystal system**: cubic



12.
# Ca3TaGa3Si2O14 | the Alexandria database | PBE-GGA | relaxed
data_Ca3TaGa3Si2O14
_chemical_formula_sum 'Ca3 Ta1 Ga3 Si2 O14'
_cell_length_a 8.2111
_cell_length_b 8.2111
_cell_length_c 5.0236
_cell_angle_alpha 90.00
_cell_angle_beta 90.00
_cell_angle_gamma 120.00
_space_group_name_H-M_alt 'P 3 2 1'
_space_group_IT_number 150
loop_
_space_group_symop_operation_xyz
'x,y,z'
'-y,x-y,z'
'-x+y,-x,z'
'y,x,-z'
'x-y,-y,-z'
'-x,-x+y,-z'
loop_
_atom_site_label
_atom_site_type_symbol
_atom_site_fract_x
_atom_site_fract_y
_atom_site_fract_z
Ca1 Ca 0.0000 0.4222 0.0000
Ta1 Ta 0.0000 0.0000 0.0000
Ga1 Ga 0.0000 0.7431 0.5000
Si1 Si 0.3333 0.6667 0.5502
O1 O 0.0862 0.2253 0.2349
O2 O 0.1546 0.6762 0.6906
O3 O 0.3333 0.6667 0.2297
# **Uncorrected formation energy**: -2.657 eV/atom
# **DOS at the Fermi energy**: 0.00 states/eV per cell
# **Calculated volume**: 12.753 A^3/atom
# **Crystal system**: trigonal